[1]
Here is a geometry-optimized Mn2HgPb structure from the Alexandria database. Energies are from PBE.

Cell and atoms, written as CIF:
```
data_Mn2HgPb
_cell_length_a 6.303
_cell_length_b 7.930
_cell_length_c 3.170
_cell_angle_alpha 90.00
_cell_angle_beta 90.00
_cell_angle_gamma 90.00
_symmetry_space_group_name_H-M 'C m m m'
_symmetry_Int_Tables_number 65
_symmetry_space_group_name_Hall '-C 2 2'
loop_
_atom_site_label
_atom_site_type_symbol
_atom_site_fract_x
_atom_site_fract_y
_atom_site_fract_z
_atom_site_occupancy
Mn1 Mn 0.250 0.250 0.000 1
Hg1 Hg 0.000 0.000 0.500 1
Pb1 Pb 0.000 0.500 0.500 1
```

VASP energy   -5.147 eV/atom
ΔE_f   1.76 eV per formula unit
M_tot   15.17 Bohr magnetons per cell

[2]
Here is a geometry-optimized Mn2HgPb structure from the Alexandria database. Energies are from PBE.

Cell and atoms, written as CIF:
```
data_Mn2HgPb
_cell_length_a 9.096
_cell_length_b 3.233
_cell_length_c 5.919
_cell_angle_alpha 90.00
_cell_angle_beta 102.98
_cell_angle_gamma 90.00
_symmetry_space_group_name_H-M 'C 1 2/m 1'
_symmetry_Int_Tables_number 12
_symmetry_space_group_name_Hall '-C 2y'
loop_
_atom_site_label
_atom_site_type_symbol
_atom_site_fract_x
_atom_site_fract_y
_atom_site_fract_z
_atom_site_occupancy
Mn1 Mn 0.249 0.000 0.212 1
Hg1 Hg 0.000 0.500 0.000 1
Pb1 Pb 0.000 0.000 0.500 1
```

VASP energy   -5.131 eV/atom
ΔE_f   1.83 eV per formula unit
M_tot   15.82 Bohr magnetons per cell